(1)
A relaxed CaSm3Dy crystal, computed with PBE.

Values from the calculation:
energy relative to the lowest polymorph listed for this composition	268	meV per atom
DFT formation energy	0.376	eV/atom

a b c (Å): 6.1554 6.1554 12.3098
angles (deg): 75.52 75.52 60.00
Closest atoms and distances in Å follow each position.
Positions (direct):
1 Ca 0.3335 0.3335 0.9996  3 Ca 3.55, 6 Sm 3.70-3.74
2 Ca 0.6665 0.6665 0.0006  3 Ca 3.55, 6 Sm 3.70-3.74
3 Sm 0.0923 0.4182 0.7368  2 Dy 3.45-3.49, 6 Sm 3.52-3.59, 2 Ca 3.70-3.74
4 Sm 0.7528 0.0923 0.7368  2 Dy 3.45-3.49, 6 Sm 3.52-3.59, 2 Ca 3.70-3.74
5 Sm 0.5818 0.2472 0.2632  2 Dy 3.45-3.49, 6 Sm 3.52-3.59, 2 Ca 3.70-3.74
6 Sm 0.2472 0.9077 0.2632  2 Dy 3.45-3.49, 6 Sm 3.52-3.59, 2 Ca 3.70-3.74
7 Sm 0.9077 0.5818 0.2632  2 Dy 3.45-3.49, 6 Sm 3.52-3.59, 2 Ca 3.70-3.74
8 Sm 0.4182 0.7528 0.7368  2 Dy 3.45-3.49, 6 Sm 3.52-3.59, 2 Ca 3.70-3.74
9 Dy 0.1664 0.1664 0.5009  6 Sm 3.45-3.49, 3 Dy 3.55
10 Dy 0.8336 0.8336 0.4991  6 Sm 3.45-3.49, 3 Dy 3.55

---

(2)
A relaxed RbNiSb2Te crystal, computed with PBE.

Values from the calculation:
energy relative to the lowest polymorph listed for this composition	0	meV per atom
energy relative to the elements, uncorrected	-3	kJ/mol of atoms

a b c (Å): 5.0631 5.0631 5.7254
angles (deg): 90.00 90.00 90.00
Closest atoms and distances in Å follow each position.
Positions (direct):
1 Sb 0.0000 0.5000 0.0000  2 Ni 2.53
2 Sb 0.5000 0.0000 0.0000  2 Ni 2.53
3 Te 0.0000 0.0000 0.5000  2 Ni 2.86
4 Rb 0.5000 0.5000 0.5000  4 Te 3.58, 8 Sb 3.82
5 Ni 0.0000 0.0000 0.0000  4 Sb 2.53

---

(3)
A relaxed NbH12Cl6 crystal, computed with PBE.

Values from the calculation:
DFT total energy	-66.62	eV/cell

a b c (Å): 7.4334 7.4334 7.4334
angles (deg): 78.07 78.07 78.07
Closest atoms and distances in Å follow each position.
Positions (direct):
1 Nb 0.0000 0.0000 0.0000  6 Cl 2.45
2 H 0.4676 0.0176 0.5411  1 H 0.75
3 H 0.0176 0.5411 0.4676  1 H 0.75
4 H 0.5411 0.4676 0.0176  1 H 0.75
5 H 0.5324 0.9824 0.4589  1 H 0.75
6 H 0.9824 0.4589 0.5324  1 H 0.75
7 H 0.4589 0.5324 0.9824  1 H 0.75
8 H 0.7786 0.8761 0.7711  2 H 0.95
9 H 0.2289 0.2214 0.1239  2 H 0.95
10 H 0.1239 0.2289 0.2214  2 H 0.95
11 H 0.2214 0.1239 0.2289  2 H 0.95
12 H 0.7711 0.7786 0.8761  2 H 0.95
13 H 0.8761 0.7711 0.7786  2 H 0.95
14 Cl 0.2301 0.2037 0.8613  1 H 1.98
15 Cl 0.7963 0.1387 0.7699  1 H 1.98
16 Cl 0.1387 0.7699 0.7963  1 H 1.98
17 Cl 0.7699 0.7963 0.1387  1 H 1.98
18 Cl 0.2037 0.8613 0.2301  1 H 1.98
19 Cl 0.8613 0.2301 0.2037  1 H 1.98

---

(4)
A relaxed NiIrPt crystal, computed with PBE.

Values from the calculation:
energy relative to the lowest polymorph listed for this composition	56	meV per atom
DFT formation energy	0.020	eV/atom

a b c (Å): 5.8689 5.8689 5.8689
angles (deg): 153.11 153.11 38.39
Closest atoms and distances in Å follow each position.
Positions (direct):
1 Ni 0.3375 0.3375 0.0000  4 Ir 2.57, 4 Pt 2.67, 4 Ni 2.73
2 Ir 0.9908 0.9908 0.0000  4 Ni 2.57, 4 Ir 2.73, 4 Pt 2.78
3 Pt 0.6717 0.6717 0.0000  4 Ni 2.67, 4 Pt 2.73, 4 Ir 2.78

---

(5)
A relaxed Tb3Th2Tc2 crystal, computed with PBE.

Values from the calculation:
DFT formation energy	-0.105	eV/atom

a b c (Å): 3.9599 6.3496 8.6577
angles (deg): 103.51 103.26 108.15
Closest atoms and distances in Å follow each position.
Positions (direct):
1 Tb 0.5000 0.0000 0.0000  4 Tc 3.05-3.06, 2 Tb 3.34
2 Tb 0.2029 0.8246 0.5804  3 Tc 2.99-3.12, 1 Tb 3.34
3 Tb 0.7971 0.1754 0.4196  3 Tc 2.99-3.12, 1 Tb 3.34
4 Th 0.6433 0.4811 0.8060  2 Tc 2.70
5 Th 0.3567 0.5189 0.1940  2 Tc 2.70
6 Tc 0.0209 0.8306 0.2114  2 Th 2.70, 2 Tb 2.99
7 Tc 0.9791 0.1694 0.7886  2 Th 2.70, 2 Tb 2.99

---

(6)
A relaxed Zn3Co2 crystal, computed with PBE.

Values from the calculation:
energy relative to the lowest polymorph listed for this composition	0	meV per atom
DFT formation energy	0.044	eV/atom

a b c (Å): 10.9409 10.9409 10.9409
angles (deg): 13.78 13.78 13.78
Closest atoms and distances in Å follow each position.
Positions (direct):
1 Zn 0.0000 0.0000 0.0000  6 Co 2.59, 6 Zn 2.62
2 Zn 0.7956 0.7956 0.7956  3 Co 2.58, 9 Zn 2.62-2.88
3 Zn 0.2044 0.2044 0.2044  3 Co 2.58, 9 Zn 2.62-2.88
4 Co 0.6021 0.6021 0.6021  6 Zn 2.58-2.59, 6 Co 2.62
5 Co 0.3979 0.3979 0.3979  6 Zn 2.58-2.59, 6 Co 2.62

---

| no. | D(E_F) (states/eV/atom) |
| --- | --- |
| 1 | 1.79 |
| 2 | 0.75 |
| 3 | 0.39 |
| 4 | 1.64 |
| 5 | 0.89 |
| 6 | 0.86 |